(1)
BiIr2Pd | PBE | relaxed

## Properties
**Calculated density**: 16.77 g cm⁻³
**Crystal system**: monoclinic
**E_form**: 0.3296 eV/atom

Cell: 4.834 3.042 4.988 Å, 90.00 109.08 90.00°
Atoms (fractional coordinates):
Pd  0.000  0.000  0.000
Ir  0.500  0.000  0.500
Ir  0.000  0.500  0.500
Bi  0.500  0.500  0.000

---

(2)
BiIr2Pd | PBE | relaxed

## Properties
**Calculated density**: 15.62 g cm⁻³
**Crystal system**: monoclinic
**E_form**: 0.3341 eV/atom

Cell: 4.700 6.737 5.148 Å, 90.00 114.08 90.00°
Atoms (fractional coordinates):
Ir  0.664  0.811  0.037
Ir  0.664  0.689  0.537
Ir  0.664  0.311  0.537
Ir  0.664  0.189  0.037
Pd  0.266  0.500  0.750
Pd  0.266  0.000  0.250
Bi  0.069  0.000  0.668
Bi  0.069  0.500  0.168

---

(3)
Bi4IrPd | PBE | relaxed

## Properties
**Calculated density**: 12.06 g cm⁻³
**Crystal system**: monoclinic
**E_form**: -0.0729 eV/atom

Cell: 6.789 6.815 6.761 Å, 90.00 92.83 90.00°
Atoms (fractional coordinates):
Bi  0.359  0.367  0.377
Bi  0.859  0.133  0.377
Bi  0.641  0.633  0.623
Bi  0.880  0.634  0.133
Bi  0.620  0.134  0.867
Bi  0.380  0.866  0.133
Bi  0.120  0.366  0.867
Bi  0.141  0.867  0.623
Ir  0.500  0.000  0.500
Ir  0.000  0.500  0.500
Pd  0.000  0.000  0.000
Pd  0.500  0.500  0.000

---

(4)
Bi3IrPd | PBE | relaxed

## Properties
**Calculated density**: 10.28 g cm⁻³
**Crystal system**: cubic
**Energy above the lowest structure with this stoichiometry**: 696.2 meV per atom
**E_form**: 0.6494 eV/atom

Cell: 5.307 5.307 5.307 Å, 90.00 90.00 90.00°
Atoms (fractional coordinates):
Bi  0.500  0.000  0.000
Bi  0.000  0.000  0.500
Bi  0.000  0.500  0.000
Ir  0.000  0.000  0.000
Pd  0.500  0.500  0.500

---

(5)
BiIr2Pd | PBE | relaxed

## Properties
**Calculated density**: 16.62 g cm⁻³
**Crystal system**: monoclinic
**E_form**: 0.3521 eV/atom

Cell: 4.965 3.018 9.483 Å, 90.00 100.14 90.00°
Atoms (fractional coordinates):
Pd  0.000  0.500  0.500
Pd  0.000  0.000  0.000
Ir  0.224  0.500  0.246
Ir  0.776  0.500  0.754
Ir  0.776  0.000  0.254
Ir  0.224  0.000  0.746
Bi  0.500  0.000  0.500
Bi  0.500  0.500  0.000

---

(6)
BiIr2Pd | PBE | relaxed

## Properties
**Calculated density**: 17.07 g cm⁻³
**Crystal system**: tetragonal
**E_form**: 0.2777 eV/atom

Cell: 4.136 4.136 3.980 Å, 90.00 90.00 90.00°
Atoms (fractional coordinates):
Bi  0.500  0.500  0.000
Ir  0.500  0.000  0.500
Ir  0.000  0.500  0.500
Pd  0.000  0.000  0.000

---

(7)
Bi4IrPd2 | PBE | relaxed

## Properties
**Calculated density**: 11.92 g cm⁻³
**Crystal system**: monoclinic
**E_form**: -0.1496 eV/atom

Cell: 4.226 7.091 7.172 Å, 121.06 107.14 90.00°
Atoms (fractional coordinates):
Pd  0.255  0.234  0.509
Pd  0.745  0.766  0.491
Bi  0.625  0.288  0.249
Bi  0.112  0.765  0.224
Bi  0.375  0.712  0.751
Bi  0.888  0.235  0.776
Ir  0.000  0.000  0.000

---

(8)
BiIr3Pd | PBE | relaxed

## Properties
**Calculated density**: 12.17 g cm⁻³
**Crystal system**: cubic
**Energy above the lowest structure with this stoichiometry**: 531.3 meV per atom
**E_form**: 2.2610 eV/atom

Cell: 4.956 4.956 4.956 Å, 90.00 90.00 90.00°
Atoms (fractional coordinates):
Bi  0.000  0.000  0.000
Ir  0.500  0.000  0.000
Ir  0.000  0.000  0.500
Ir  0.000  0.500  0.000
Pd  0.500  0.500  0.500

---

(9)
BiIr2Pd | PBE | relaxed

## Properties
**Calculated density**: 16.74 g cm⁻³
**Crystal system**: monoclinic
**E_form**: 0.3549 eV/atom

Cell: 4.821 2.992 10.763 Å, 90.00 116.56 90.00°
Atoms (fractional coordinates):
Ir  0.891  0.000  0.128
Ir  0.891  0.500  0.628
Ir  0.376  0.000  0.612
Ir  0.376  0.500  0.112
Bi  0.472  0.500  0.869
Bi  0.472  0.000  0.369
Pd  0.955  0.000  0.870
Pd  0.955  0.500  0.370

---

(10)
Bi6IrPd2 | PBE | relaxed

## Properties
**Calculated density**: 11.87 g cm⁻³
**Crystal system**: monoclinic
**E_form**: -0.0777 eV/atom

Cell: 7.402 6.772 9.275 Å, 90.00 87.19 90.00°
Atoms (fractional coordinates):
Bi  0.862  0.032  0.231
Bi  0.845  0.658  0.939
Bi  0.679  0.157  0.919
Bi  0.321  0.843  0.081
Bi  0.362  0.468  0.731
Bi  0.155  0.342  0.061
Bi  0.138  0.968  0.769
Bi  0.821  0.657  0.581
Bi  0.638  0.532  0.269
Bi  0.655  0.158  0.561
Bi  0.179  0.343  0.419
Bi  0.345  0.842  0.439
Pd  0.488  0.155  0.246
Pd  0.988  0.345  0.746
Pd  0.012  0.655  0.254
Pd  0.512  0.845  0.754
Ir  0.500  0.500  0.000
Ir  0.000  0.000  0.500

---

(11)
BiIr2Pd | PBE | relaxed

## Properties
**Calculated density**: 16.02 g cm⁻³
**Crystal system**: orthorhombic
**E_form**: 0.2888 eV/atom

Cell: 2.942 3.691 6.678 Å, 90.00 90.00 90.00°
Atoms (fractional coordinates):
Ir  0.500  0.500  0.737
Ir  0.000  0.000  0.559
Bi  0.000  0.000  0.042
Pd  0.500  0.500  0.323

---

(12)
BiIrPd2 | PBE | relaxed

## Properties
**Calculated density**: 13.47 g cm⁻³
**Crystal system**: tetragonal
**E_form**: 0.2602 eV/atom

Cell: 3.951 3.951 10.093 Å, 78.71 78.71 90.00°
Atoms (fractional coordinates):
Pd  0.610  0.125  0.250
Pd  0.375  0.390  0.750
Pd  0.875  0.860  0.750
Pd  0.140  0.625  0.250
Ir  0.500  0.500  0.000
Ir  0.250  0.750  0.500
Bi  0.000  0.000  0.000
Bi  0.750  0.250  0.500

---

(13)
BiIr2Pd | PBE | relaxed

## Properties
**Calculated density**: 15.79 g cm⁻³
**Crystal system**: monoclinic
**E_form**: 0.3248 eV/atom

Cell: 6.718 2.997 8.680 Å, 90.00 122.64 90.00°
Atoms (fractional coordinates):
Pd  0.318  0.000  0.988
Pd  0.318  0.500  0.488
Bi  0.045  0.000  0.143
Bi  0.045  0.500  0.643
Ir  0.567  0.500  0.871
Ir  0.567  0.000  0.371
Ir  0.732  0.500  0.219
Ir  0.732  0.000  0.719

---

(14)
Bi3IrPd | PBE | relaxed

## Properties
**Calculated density**: 11.97 g cm⁻³
**Crystal system**: monoclinic
**Energy above the lowest structure with this stoichiometry**: 0.0 meV per atom
**E_form**: -0.0468 eV/atom

Cell: 6.870 9.619 9.619 Å, 74.75 64.27 64.27°
Atoms (fractional coordinates):
Ir  0.526  0.892  0.649
Ir  0.474  0.108  0.351
Ir  0.974  0.351  0.108
Ir  0.026  0.649  0.892
Bi  0.266  0.784  0.948
Bi  0.766  0.948  0.784
Bi  0.234  0.052  0.216
Bi  0.620  0.316  0.405
Bi  0.872  0.869  0.360
Bi  0.380  0.684  0.595
Bi  0.880  0.595  0.684
Bi  0.372  0.360  0.869
Bi  0.734  0.216  0.052
Bi  0.128  0.131  0.640
Bi  0.120  0.405  0.316
Bi  0.628  0.640  0.131
Pd  0.750  0.902  0.098
Pd  0.250  0.609  0.391
Pd  0.750  0.391  0.609
Pd  0.250  0.098  0.902

---

(15)
Bi12IrPd6 | PBE | relaxed

## Properties
**Calculated density**: 10.60 g cm⁻³
**Crystal system**: trigonal
**E_form**: -0.1500 eV/atom

Cell: 8.191 8.191 8.191 Å, 99.70 99.70 99.70°
Atoms (fractional coordinates):
Bi  0.063  0.933  0.324
Bi  0.937  0.067  0.676
Bi  0.067  0.676  0.937
Bi  0.179  0.439  0.584
Bi  0.676  0.937  0.067
Bi  0.416  0.821  0.561
Bi  0.821  0.561  0.416
Bi  0.933  0.324  0.063
Bi  0.439  0.584  0.179
Bi  0.584  0.179  0.439
Bi  0.324  0.063  0.933
Bi  0.561  0.416  0.821
Pd  0.393  0.701  0.860
Pd  0.140  0.607  0.299
Pd  0.607  0.299  0.140
Pd  0.299  0.140  0.607
Pd  0.860  0.393  0.701
Pd  0.701  0.860  0.393
Ir  0.000  0.000  0.000

---

(16)
BiIr2Pd | PBE | relaxed

## Properties
**Calculated density**: 16.21 g cm⁻³
**Crystal system**: monoclinic
**E_form**: 0.3133 eV/atom

Cell: 2.949 4.365 5.666 Å, 90.00 100.75 90.00°
Atoms (fractional coordinates):
Ir  0.658  0.000  0.596
Ir  0.201  0.500  0.712
Bi  0.995  0.000  0.077
Pd  0.554  0.500  0.277

---

(17)
BiIr2Pd | PBE | relaxed

## Properties
**Calculated density**: 16.77 g cm⁻³
**Crystal system**: orthorhombic
**E_form**: 0.3898 eV/atom

Cell: 5.762 7.613 3.159 Å, 90.00 90.00 90.00°
Atoms (fractional coordinates):
Bi  0.500  0.500  0.500
Bi  0.000  0.000  0.500
Pd  0.500  0.000  0.500
Pd  0.000  0.500  0.500
Ir  0.750  0.250  0.000
Ir  0.250  0.250  0.000
Ir  0.750  0.750  0.000
Ir  0.250  0.750  0.000

---

(18)
BiIr2Pd | PBE | relaxed

## Properties
**Calculated density**: 15.59 g cm⁻³
**Crystal system**: orthorhombic
**E_form**: 0.2762 eV/atom

Cell: 3.704 2.912 13.818 Å, 90.00 90.00 90.00°
Atoms (fractional coordinates):
Bi  0.000  0.500  0.464
Bi  0.000  0.000  0.964
Ir  0.000  0.500  0.719
Ir  0.500  0.000  0.799
Ir  0.000  0.000  0.219
Ir  0.500  0.500  0.299
Pd  0.500  0.500  0.099
Pd  0.500  0.000  0.599

---

(19)
Bi2Ir2Pd | PBE | relaxed

## Properties
**Calculated density**: 14.92 g cm⁻³
**Crystal system**: tetragonal
**E_form**: 0.2800 eV/atom

Cell: 7.206 7.206 3.896 Å, 90.00 90.00 90.00°
Atoms (fractional coordinates):
Bi  0.671  0.829  0.500
Bi  0.171  0.671  0.500
Bi  0.829  0.329  0.500
Bi  0.329  0.171  0.500
Ir  0.867  0.633  0.000
Ir  0.633  0.133  0.000
Ir  0.367  0.867  0.000
Ir  0.133  0.367  0.000
Pd  0.000  0.000  0.000
Pd  0.500  0.500  0.000

---

(20)
BiIr2Pd | PBE | relaxed

## Properties
**Calculated density**: 15.13 g cm⁻³
**Crystal system**: tetragonal
**E_form**: 0.4600 eV/atom

Cell: 3.995 3.995 10.033 Å, 78.52 78.52 90.00°
Atoms (fractional coordinates):
Bi  0.000  0.000  0.000
Bi  0.750  0.250  0.500
Ir  0.375  0.435  0.750
Ir  0.565  0.125  0.250
Ir  0.185  0.625  0.250
Ir  0.875  0.815  0.750
Pd  0.250  0.750  0.500
Pd  0.500  0.500  0.000

---

(21)
BiIr2Pd | PBE | relaxed

## Properties
**Calculated density**: 14.99 g cm⁻³
**Crystal system**: triclinic
**E_form**: 0.2950 eV/atom

Cell: 3.924 4.475 5.422 Å, 69.32 68.48 64.05°
Atoms (fractional coordinates):
Bi  0.192  0.850  0.113
Ir  0.628  0.290  0.804
Ir  0.981  0.704  0.687
Pd  0.381  0.167  0.425

---

(22)
BiIrPd | PBE | relaxed

## Properties
**Calculated density**: 14.82 g cm⁻³
**Crystal system**: tetragonal
**E_form**: 0.2937 eV/atom

Cell: 4.707 3.329 10.268 Å, 90.00 90.00 134.99°
Atoms (fractional coordinates):
Bi  0.194  0.389  0.177
Bi  0.194  0.389  0.823
Ir  0.694  0.389  0.000
Ir  0.195  0.389  0.500
Pd  0.695  0.389  0.363
Pd  0.695  0.389  0.637

---

(23)
PmBiIrPd | PBE | relaxed

## Properties
**Calculated density**: 12.70 g cm⁻³
**Crystal system**: cubic
**E_form**: -0.4254 eV/atom

Cell: 4.942 4.942 4.942 Å, 60.00 60.00 60.00°
Atoms (fractional coordinates):
Pd  0.500  0.500  0.500
Pm  0.750  0.750  0.750
Ir  0.000  0.000  0.000
Bi  0.250  0.250  0.250

---

(24)
BiIr2PdS | PBE | relaxed

## Properties
**Calculated density**: 9.97 g cm⁻³
**Formation energy from raw total energies**: 1.7426 eV per atom
**Crystal system**: tetragonal

Cell: 4.816 5.255 4.816 Å, 90.00 90.00 90.00°
Atoms (fractional coordinates):
Pd  0.000  0.000  0.000
Ir  0.500  0.000  0.000
Ir  0.000  0.000  0.500
S  0.500  0.500  0.500
Bi  0.000  0.500  0.000

---

(25)
Tc2BiIrPd | PBE | relaxed

## Properties
**Calculated density**: 9.85 g cm⁻³
**Crystal system**: tetragonal
**E_form**: 1.5298 eV/atom

Cell: 4.693 5.387 4.693 Å, 90.00 90.00 90.00°
Atoms (fractional coordinates):
Pd  0.500  0.500  0.500
Ir  0.000  0.000  0.000
Bi  0.000  0.500  0.000
Tc  0.500  0.000  0.000
Tc  0.000  0.000  0.500

---

It is found that the volume values, taken in the order of the records, are 17.329, 18.600, 26.037, 29.895, 17.485, 17.020, 24.696, 24.345, 17.359, 25.796, 18.130, 18.923, 18.396, 25.680, 27.521, 17.918, 17.324, 18.632, 20.234, 19.204, 19.375, 18.965, 21.338, 24.373, 23.723 Å³/atom.